Entry from the Alexandria database: an optimized crystal structure of MnFe3Ag (PBE).

```
MnFe3Ag
1.0
4.6743 0.0000 0.0000
0.0000 4.6743 0.0000
0.0000 0.0000 4.6743
Mn Fe Ag
1 3 1
direct
0.0000 0.0000 0.0000 Mn
0.0000 0.5000 0.5000 Fe
0.5000 0.0000 0.5000 Fe
0.5000 0.5000 0.0000 Fe
0.5000 0.5000 0.5000 Ag
```

Properties
The total magnetic moment is 13.5 μB per formula unit. For the total energy, the calculation gives -5.787 eV per atom. As for the calculated density: 5.37 g/cm³. The space group is Pm-3m. The calculation puts the density of states at the Fermi level at 7.57 states/eV/f.u.